No. 1
Ba4SrIr: optimized geometry, PBE-GGA.

Cell and atoms, written as POSCAR:
```
Ba4SrIr
1.0
10.2142 -4.3409 0.0000
10.2142 4.3409 0.0000
-1.9853 0.0000 7.0270
Ba Sr Ir
8 2 2
Direct
0.1381 0.6476 0.3884 Ba
0.1789 0.1789 0.2251 Ba
0.2321 0.7679 0.0000 Ba
0.3524 0.8619 0.6116 Ba
0.6476 0.1381 0.3884 Ba
0.7679 0.2321 0.0000 Ba
0.8211 0.8211 0.7749 Ba
0.8619 0.3524 0.6116 Ba
0.3043 0.3043 0.8195 Sr
0.6957 0.6957 0.1805 Sr
0.0285 0.0285 0.3564 Ir
0.9715 0.9715 0.6436 Ir
```

## Properties
polymorph energy (0 for the lowest one): 41 meV per atom
electronic total energy: -37.20 eV per cell



No. 2
NbHgGe: optimized geometry, PBE-GGA.

Cell and atoms, written as POSCAR:
```
NbHgGe
1.0
3.4685 0.0000 0.0000
0.0000 3.4569 0.0000
-0.3036 0.0000 11.5089
Nb Hg Ge
2 2 2
Direct
0.0000 0.0000 0.0000 Nb
0.4863 0.5000 0.8605 Nb
0.0263 0.0000 0.2741 Hg
0.9986 0.0000 0.5201 Hg
0.5096 0.5000 0.1003 Ge
0.9754 0.0000 0.7562 Ge
```

## Properties
polymorph energy (0 for the lowest one): 26 meV per atom
electronic total energy: -30.38 eV per cell



No. 3
Pm8PrMg6: optimized geometry, PBE-GGA.

Cell and atoms, written as POSCAR:
```
Pm8PrMg6
1.0
4.6455 2.6821 6.6049
-4.6455 2.6821 6.6049
0.0000 -5.3642 6.6049
Pm Pr Mg
8 1 6
Direct
0.0476 0.7152 0.3813 Pm
0.1664 0.1664 0.1664 Pm
0.2848 0.6187 0.9524 Pm
0.3813 0.0476 0.7152 Pm
0.6187 0.9524 0.2848 Pm
0.7152 0.3813 0.0476 Pm
0.8336 0.8336 0.8336 Pm
0.9524 0.2848 0.6187 Pm
0.5000 0.5000 0.5000 Pr
0.1188 0.4534 0.7877 Mg
0.2123 0.8812 0.5466 Mg
0.4534 0.7877 0.1188 Mg
0.5466 0.2123 0.8812 Mg
0.7877 0.1188 0.4534 Mg
0.8812 0.5466 0.2123 Mg
```

## Properties
electronic total energy: -50.01 eV per cell



No. 4
DyGaSn3: optimized geometry, PBE-GGA.

Cell and atoms, written as POSCAR:
```
DyGaSn3
1.0
12.5536 0.0000 0.0000
0.0000 6.2621 0.0000
0.0000 0.0000 6.3878
Dy Ga Sn
4 4 12
Direct
0.1962 0.0171 0.2500 Dy
0.1962 0.4829 0.7500 Dy
0.8038 0.5171 0.2500 Dy
0.8038 0.9829 0.7500 Dy
0.3792 0.2500 0.0000 Ga
0.3792 0.2500 0.5000 Ga
0.6208 0.7500 0.0000 Ga
0.6208 0.7500 0.5000 Ga
0.9996 0.2500 0.0000 Sn
0.9996 0.2500 0.5000 Sn
0.0004 0.7500 0.0000 Sn
0.0004 0.7500 0.5000 Sn
0.2336 0.5228 0.2500 Sn
0.2336 0.9772 0.7500 Sn
0.4353 0.6514 0.7500 Sn
0.4353 0.8486 0.2500 Sn
0.5647 0.1514 0.7500 Sn
0.5647 0.3486 0.2500 Sn
0.7664 0.0228 0.2500 Sn
0.7664 0.4772 0.7500 Sn
```

## Properties
electronic total energy: -84.82 eV per cell



No. 5
AcCeMgOs: optimized geometry, PBE-GGA.

Cell and atoms, written as POSCAR:
```
AcCeMgOs
1.0
0.0000 3.7077 3.7077
3.7077 0.0000 3.7077
3.7077 3.7077 0.0000
Ac Ce Mg Os
1 1 1 1
Direct
0.0000 0.0000 0.0000 Ac
0.5000 0.5000 0.5000 Ce
0.7500 0.7500 0.7500 Mg
0.2500 0.2500 0.2500 Os
```

## Properties
electronic total energy: -22.33 eV per cell



No. 6
La6TbPm2Th: optimized geometry, PBE-GGA.

Cell and atoms, written as POSCAR:
```
La6TbPm2Th
1.0
5.8595 -3.4311 0.0000
5.8595 3.4311 0.0000
-4.2170 0.0000 8.8179
La Tb Pm Th
6 1 2 1
Direct
0.0429 0.5810 0.1818 La
0.1493 0.1493 0.4223 La
0.4190 0.9571 0.8182 La
0.5810 0.0429 0.1818 La
0.8507 0.8507 0.5777 La
0.9571 0.4190 0.8182 La
0.0000 0.0000 0.0000 Tb
0.4376 0.4376 0.8086 Pm
0.5624 0.5624 0.1914 Pm
0.5000 0.5000 0.5000 Th
```

## Properties
electronic total energy: -49.25 eV per cell



No. 7
CsZnGaHg2: optimized geometry, PBE-GGA.

Cell and atoms, written as POSCAR:
```
CsZnGaHg2
1.0
5.5738 0.0000 0.0000
0.0000 5.5738 0.0000
0.0000 0.0000 5.2330
Cs Zn Ga Hg
1 1 1 2
Direct
0.0000 0.0000 0.0000 Cs
0.5000 0.5000 0.0000 Zn
0.5000 0.5000 0.5000 Ga
0.0000 0.5000 0.5000 Hg
0.5000 0.0000 0.5000 Hg
```

## Properties
polymorph energy (0 for the lowest one): 0 meV per atom
electronic total energy: -5.88 eV per cell



No. 8
SrScBr2: optimized geometry, PBE-GGA.

Cell and atoms, written as POSCAR:
```
SrScBr2
1.0
1.8441 -3.5189 0.0000
1.8441 3.5189 0.0000
0.0000 0.0000 9.5053
Sr Sc Br
1 1 2
Direct
0.0000 0.0000 0.0000 Sr
0.0000 0.0000 0.5000 Sc
0.5000 0.5000 0.2787 Br
0.5000 0.5000 0.7213 Br
```

## Properties
polymorph energy (0 for the lowest one): 193 meV per atom
electronic total energy: -15.06 eV per cell
ΔE_f (raw): -3.7 eV per formula unit



No. 9
KFe3Cu: optimized geometry, PBE-GGA.

Cell and atoms, written as POSCAR:
```
KFe3Cu
1.0
4.6673 0.0000 0.0000
0.0000 4.6673 0.0000
0.0000 0.0000 4.6673
K Fe Cu
1 3 1
Direct
0.0000 0.0000 0.0000 K
0.0000 0.5000 0.5000 Fe
0.5000 0.0000 0.5000 Fe
0.5000 0.5000 0.0000 Fe
0.5000 0.5000 0.5000 Cu
```

## Properties
polymorph energy (0 for the lowest one): 0 meV per atom
electronic total energy: -24.43 eV per cell



No. 10
KRb2Pb6: optimized geometry, PBE-GGA.

Cell and atoms, written as POSCAR:
```
KRb2Pb6
1.0
0.0000 5.7649 5.7649
5.7649 0.0000 5.7649
5.7649 5.7649 0.0000
K Rb Pb
1 2 6
Direct
0.0000 0.0000 0.0000 K
0.2500 0.2500 0.2500 Rb
0.7500 0.7500 0.7500 Rb
0.3026 0.3026 0.6974 Pb
0.3026 0.6974 0.3026 Pb
0.3026 0.6974 0.6974 Pb
0.6974 0.3026 0.3026 Pb
0.6974 0.3026 0.6974 Pb
0.6974 0.6974 0.3026 Pb
```

## Properties
electronic total energy: -26.19 eV per cell



Number 1: total magnetic moment 0.001 μB per formula unit. Number 2: total magnetic moment 0.000 μB per formula unit. Number 3: total magnetic moment 0.013 μB per formula unit. Number 4: total magnetic moment 0.000 μB per formula unit. Number 5: total magnetic moment 0.074 μB per formula unit. Number 6: total magnetic moment 0.000 μB per formula unit. Number 7: total magnetic moment 0.000 μB per formula unit. Number 8: total magnetic moment 0.003 μB per formula unit. Number 9: total magnetic moment 9.518 μB per formula unit. Number 10: total magnetic moment 0.000 μB per formula unit.